VASP calculation (PBE-GGA) on crystalline TiGe2ClO at its relaxed geometry.

Summary:
* density of states at the Fermi level: 4.9 states/eV per cell
* total magnetization: 0.00 μB per cell
* energy: -25.14 eV for the cell shown
* energy relative to the elements, uncorrected: -117 kJ/mol of formula units

Cell: 5.0091 5.0091 3.8269 Å, 90.00 90.00 90.00°
Atoms (fractional coordinates):
Ti  0.0000  0.0000  0.0000
Ge  0.0000  0.5000  0.5000
Ge  0.5000  0.0000  0.5000
Cl  0.5000  0.5000  0.0000
O  0.0000  0.0000  0.5000